# 1
DFT (GGA-PBE) results for crystalline PuTlPtRh at its relaxed geometry.

abc: 6.8283 6.8283 6.8283
angles: 90.00 90.00 90.00
With the nearest neighbours (Å) after each atom.
Atoms (fractional coordinates):
Pu1 0.0000 0.0000 0.0000  4 Pt 2.96, 4 Rh 2.96
Pu2 0.0000 0.5000 0.5000  4 Pt 2.96, 4 Rh 2.96
Pu3 0.5000 0.0000 0.5000  4 Pt 2.96, 4 Rh 2.96
Pu4 0.5000 0.5000 0.0000  4 Pt 2.96, 4 Rh 2.96
Tl1 0.0000 0.0000 0.5000  4 Rh 2.96, 4 Pt 2.96
Tl2 0.0000 0.5000 0.0000  4 Rh 2.96, 4 Pt 2.96
Tl3 0.5000 0.0000 0.0000  4 Rh 2.96, 4 Pt 2.96
Tl4 0.5000 0.5000 0.5000  4 Rh 2.96, 4 Pt 2.96
Pt1 0.2500 0.2500 0.2500  4 Tl 2.96, 4 Pu 2.96
Pt2 0.2500 0.7500 0.7500  4 Tl 2.96, 4 Pu 2.96
Pt3 0.7500 0.2500 0.7500  4 Tl 2.96, 4 Pu 2.96
Pt4 0.7500 0.7500 0.2500  4 Tl 2.96, 4 Pu 2.96
Rh1 0.2500 0.2500 0.7500  4 Tl 2.96, 4 Pu 2.96
Rh2 0.2500 0.7500 0.2500  4 Tl 2.96, 4 Pu 2.96
Rh3 0.7500 0.2500 0.2500  4 Tl 2.96, 4 Pu 2.96
Rh4 0.7500 0.7500 0.7500  4 Tl 2.96, 4 Pu 2.96

The value obtained for the formation energy is -0.338 eV per atom. The symmetry is F-43m, No. 216.

---

# 2
DFT (GGA-PBE) results for crystalline Ge2SeI at its relaxed geometry.

abc: 9.1711 9.1711 7.2218
angles: 105.20 105.20 120.13
With the nearest neighbours (Å) after each atom.
Atoms (fractional coordinates):
Ge1 0.0450 0.4168 0.3142  3 Se 2.66-2.81
Ge2 0.1588 0.3140 0.6894  2 Se 2.75-2.79, 1 I 2.99
Ge3 0.3140 0.1588 0.1894  2 Se 2.75-2.79, 1 I 2.99
Ge4 0.4168 0.0450 0.8142  3 Se 2.66-2.81
Ge5 0.5832 0.9550 0.1858  3 Se 2.66-2.81
Ge6 0.6860 0.8412 0.8106  2 Se 2.75-2.79, 1 I 2.99
Ge7 0.8412 0.6860 0.3106  2 Se 2.75-2.79, 1 I 2.99
Ge8 0.9550 0.5832 0.6858  3 Se 2.66-2.81
Se1 0.0692 0.9308 0.7500  4 Ge 2.66-2.75
Se2 0.3153 0.6847 0.7500  6 Ge 2.79-2.81
Se3 0.6847 0.3153 0.2500  6 Ge 2.79-2.81
Se4 0.9308 0.0692 0.2500  4 Ge 2.66-2.75
I1 0.1883 0.8117 0.2500  2 Ge 2.99
I2 0.4414 0.5586 0.2500  4 Ge 3.10-3.40
I3 0.5586 0.4414 0.7500  4 Ge 3.10-3.40
I4 0.8117 0.1883 0.7500  2 Ge 2.99

The calculation puts the offset from the most stable computed form at 0.000 eV per atom. As for the energy relative to the elements, uncorrected: 0.02 eV/atom. The symmetry is C2/c, No. 15.

---

# 3
DFT (GGA-PBE) results for crystalline Mn4CdP at its relaxed geometry.

abc: 4.8611 4.8611 4.8611
angles: 60.00 60.00 60.00
With the nearest neighbours (Å) after each atom.
Atoms (fractional coordinates):
Mn1 0.1246 0.1246 0.1246  6 Mn 2.42-2.44
Mn2 0.1246 0.1246 0.6261  6 Mn 2.42-2.44
Mn3 0.1246 0.6261 0.1246  6 Mn 2.42-2.44
Mn4 0.6261 0.1246 0.1246  6 Mn 2.42-2.44
Cd1 0.5000 0.5000 0.5000  12 Mn 2.85, 4 P 2.98
P1 0.7500 0.7500 0.7500  12 Mn 2.85, 4 Cd 2.98

The value obtained for the formation energy is 0.487 eV per atom. The symmetry is F-43m, No. 216.